1.
Density functional theory data (PBE) for Sc4GaAg after structural relaxation.

```
6
Lattice="4.6197 0.0001 -0.0016 -0.0001 4.6200 -0.0024 0.0029 0.0045 6.7842" Properties=species:S:1:pos:R:3 pbc="T T T"
Sc 0.0064 2.2984 1.6552
Sc 2.3180 4.6113 5.0993
Sc 2.3163 4.6082 1.6528
Sc 0.0084 2.3012 5.1014
Ag 0.0074 4.6096 3.3772
Ga 2.3188 2.3017 6.7696
```

Calculated density in g/cm3: 4.1
N(E_F) in states/eV/cell: 7.06
Calculated formation energy in meV per atom: -75



2.
Density functional theory data (PBE) for ScGa3Ag3 after structural relaxation.

```
14
Lattice="7.7661 0.0000 0.0000 3.8831 6.7257 0.0000 3.8831 2.2419 5.2599" Properties=species:S:1:pos:R:3 pbc="T T T"
Ag 5.2349 4.6055 3.3968
Ag 9.1372 6.6150 3.3968
Ag 8.9263 2.2308 3.3968
Ag 6.3951 2.3525 1.8631
Ag 6.6060 6.7368 1.8631
Ag 10.2974 4.3620 1.8631
Ga 8.9532 1.9962 0.8043
Ga 9.3269 6.7556 0.8043
Ga 6.2054 2.2120 4.4555
Ga 10.5139 4.2680 4.4555
Ga 5.0183 4.6995 0.8043
Ga 6.5791 6.9713 4.4555
Sc 7.7661 4.4838 5.1718
Sc 7.7661 4.4838 0.0881
```

Calculated density in g/cm3: 7.0
Energy relative to the lowest polymorph listed for this composition in eV/atom: 0.000
N(E_F) in states/eV/cell: 4.43
Calculated formation energy in meV per atom: -109



3.
Density functional theory data (PBE) for Sc4Ga2Ag after structural relaxation.

```
7
Lattice="4.5271 0.0000 1.4144 2.0426 4.0401 1.4144 -0.0476 -0.0293 8.1046" Properties=species:S:1:pos:R:3 pbc="T T T"
Sc 0.8244 0.5070 5.3137
Sc 4.0529 2.4924 2.9320
Sc 2.4691 1.5184 8.0013
Sc 5.6977 3.5039 5.6196
Ag 0.0000 0.0000 0.0000
Ga 4.8853 3.0043 8.2200
Ga 1.6368 1.0066 2.7133
```

Calculated density in g/cm3: 4.8
Energy relative to the lowest polymorph listed for this composition in eV/atom: 0.000
N(E_F) in states/eV/cell: 5.31
Calculated formation energy in meV per atom: -379



4.
Density functional theory data (PBE) for Sc2GaAg2 after structural relaxation.

```
5
Lattice="-3.6304 1.1071 -2.6405 -1.9506 -4.0778 0.9722 -5.2792 0.7438 3.5222" Properties=species:S:1:pos:R:3 pbc="T T T"
Sc -5.0102 -2.4097 1.8301
Sc -5.8501 0.1828 0.0238
Ga 0.0000 0.0000 0.0000
Ag -3.3667 -0.9693 0.1744
Ag -7.4936 -1.2576 1.6795
```

Calculated density in g/cm3: 5.3
Energy relative to the lowest polymorph listed for this composition in eV/atom: 0.467
N(E_F) in states/eV/cell: 3.26
Calculated formation energy in meV per atom: 154



5.
Density functional theory data (PBE) for Sc3GaAg2 after structural relaxation.

```
6
Lattice="3.3939 0.0000 0.0000 0.0000 3.3939 0.0000 0.0000 0.0000 10.3119" Properties=species:S:1:pos:R:3 pbc="T T T"
Ag 1.6970 1.6970 1.7695
Ag 1.6970 1.6970 8.5424
Sc 0.0000 0.0000 0.0000
Sc 0.0000 0.0000 6.8183
Sc 0.0000 0.0000 3.4936
Ga 1.6970 1.6970 5.1559
```

Calculated density in g/cm3: 5.9
N(E_F) in states/eV/cell: 3.62
Calculated formation energy in meV per atom: -398



6.
Density functional theory data (PBE) for ScGa6Ag8 after structural relaxation.

```
15
Lattice="7.8614 0.0000 0.0000 3.9307 6.8082 0.0000 3.9307 2.2694 5.3529" Properties=species:S:1:pos:R:3 pbc="T T T"
Ga 6.7049 2.1928 4.5753
Ga 9.0179 6.8848 0.7776
Ga 9.3148 2.3642 0.7776
Ga 10.4713 4.7102 4.5753
Ga 6.4080 6.7133 4.5753
Ga 5.2515 4.3674 0.7776
Ag 8.9453 6.7442 3.4853
Ag 6.4934 6.5802 1.8675
Ag 11.7921 6.8082 3.1708
Ag 6.7775 2.3334 1.8675
Ag 10.3133 4.7028 1.8675
Ag 5.4095 4.3748 3.4853
Ag 3.9307 2.2694 2.1821
Ag 9.2294 2.4974 3.4853
Sc 0.0000 0.0000 0.0000
```

Calculated density in g/cm3: 7.7
N(E_F) in states/eV/cell: 7.35
Calculated formation energy in meV per atom: -53



7.
Density functional theory data (PBE) for Sc3GaAg after structural relaxation.

```
5
Lattice="-1.1425 1.9114 4.5632 -2.7796 -4.1222 1.0307 4.0926 -2.2661 1.9739" Properties=species:S:1:pos:R:3 pbc="T T T"
Sc 2.0463 -1.1331 0.9869
Sc -1.3898 -2.0611 0.5154
Sc -0.5712 0.9557 2.2816
Ag 0.0853 -2.2385 3.7839
Ga 0.0000 0.0000 0.0000
```

Calculated density in g/cm3: 4.0
Energy relative to the lowest polymorph listed for this composition in eV/atom: 0.552
N(E_F) in states/eV/cell: 9.58
Calculated formation energy in meV per atom: 207



8.
Density functional theory data (PBE) for Sc6GaAg5 after structural relaxation.

```
12
Lattice="-1.8479 -2.7404 -3.5035 5.7272 -3.8869 0.0197 -3.8873 -5.7115 3.2070" Properties=species:S:1:pos:R:3 pbc="T T T"
Sc 3.3843 -4.2941 -1.7370
Sc -1.4826 -5.2492 1.5771
Sc 0.4950 -2.3332 -1.7469
Sc 1.3891 -7.1982 1.5869
Sc -1.3972 -5.1407 -1.8638
Sc 1.4745 -7.0896 -1.8540
Ga 0.0000 0.0000 0.0000
Ag -1.9099 -2.8146 -0.1019
Ag -3.8254 -5.6373 -0.1946
Ag 2.8636 -1.9434 0.0098
Ag -0.9525 -7.5671 -0.2004
Ag 0.9444 -4.7717 -0.0765
```

Calculated density in g/cm3: 6.1
N(E_F) in states/eV/cell: 8.62
Calculated formation energy in meV per atom: -337



9.
Density functional theory data (PBE) for Sc3GaAg after structural relaxation.

```
5
Lattice="-2.4663 -3.5855 -2.7110 2.3340 -3.6642 2.7229 -3.8416 0.0756 3.3948" Properties=species:S:1:pos:R:3 pbc="T T T"
Sc 1.1670 -1.8321 1.3614
Sc -1.9208 0.0378 1.6974
Sc -1.2332 -1.7928 -1.3555
Ga -1.9869 -3.5871 1.7033
Ag 0.0000 0.0000 0.0000
```

Calculated density in g/cm3: 3.8
Energy relative to the lowest polymorph listed for this composition in eV/atom: 0.711
N(E_F) in states/eV/cell: 10.53
Calculated formation energy in meV per atom: 366



10.
Density functional theory data (PBE) for Sc2GaAg after structural relaxation.

```
8
Lattice="-2.9154 -2.2690 -2.1579 3.1088 -2.4501 -1.6238 -0.7560 -8.4476 5.6628" Properties=species:S:1:pos:R:3 pbc="T T T"
Sc -0.4345 -10.4360 0.9573
Sc 1.3551 -3.9536 0.1056
Sc -0.4577 -8.1343 2.8098
Sc -1.5881 -3.8095 -0.1105
Ga 0.0967 -2.3596 -1.8908
Ga 1.2248 -6.6286 1.0741
Ag -1.7873 -6.5381 0.8070
Ag 0.0000 0.0000 0.0000
```

Calculated density in g/cm3: 5.0
N(E_F) in states/eV/cell: 8.28
Calculated formation energy in meV per atom: 132



11.
Density functional theory data (PBE) for Sc4Ga2Ag3 after structural relaxation.

```
9
Lattice="4.7459 0.0004 0.0009 2.3725 4.1400 0.1802 -0.0014 -0.2700 8.9072" Properties=species:S:1:pos:R:3 pbc="T T T"
Ga 4.7452 2.6746 2.1740
Ga 2.3718 1.1958 6.9143
Sc 2.3726 1.3401 1.0569
Sc 4.7450 -0.1604 6.0123
Sc 4.7443 2.5304 8.0314
Sc 2.3719 4.0309 3.0760
Ag 0.0000 0.0000 0.0000
Ag 4.7448 2.6160 5.0603
Ag 2.3721 1.2544 4.0279
```

Calculated density in g/cm3: 6.1
N(E_F) in states/eV/cell: 6.15
Calculated formation energy in meV per atom: -353



12.
Density functional theory data (PBE) for Sc2GaAg after structural relaxation.

```
4
Lattice="3.3422 0.0000 0.0000 0.0000 3.3422 0.0000 0.0000 0.0000 7.0242" Properties=species:S:1:pos:R:3 pbc="T T T"
Ag 1.6711 1.6711 3.5121
Ga 1.6711 1.6711 0.0000
Sc 0.0000 0.0000 1.7230
Sc 0.0000 0.0000 5.3012
```

Calculated density in g/cm3: 5.7
N(E_F) in states/eV/cell: 2.48
Calculated formation energy in meV per atom: -454



13.
Density functional theory data (PBE) for Sc3Ga4Ag4 after structural relaxation.

```
11
Lattice="3.2021 -0.0002 0.0034 -0.0001 4.5256 0.0026 1.5977 2.2485 14.0010" Properties=species:S:1:pos:R:3 pbc="T T T"
Ga 3.2016 4.5137 12.7300
Ga 3.2000 2.2551 8.8800
Ga 1.5998 4.5190 5.1265
Ga 1.5982 2.2604 1.2779
Ag 1.5977 4.5222 2.5484
Ag 3.2021 2.2518 11.4587
Ag 1.5998 2.2557 6.5283
Ag 3.2000 4.5184 7.4781
Sc 3.2006 2.2583 3.8884
Sc 0.0000 0.0001 0.0001
Sc 1.5992 4.5158 10.1186
```

Calculated density in g/cm3: 6.9
N(E_F) in states/eV/cell: 4.95
Calculated formation energy in meV per atom: -382



14.
Density functional theory data (PBE) for Sc5GaAg4 after structural relaxation.

```
10
Lattice="3.4052 0.0000 0.0000 0.0000 3.4052 0.0000 0.0000 0.0000 17.2323" Properties=species:S:1:pos:R:3 pbc="T T T"
Ag 0.0000 0.0000 6.8948
Ag 0.0000 0.0000 3.3821
Ag 0.0000 0.0000 13.8502
Ag 0.0000 0.0000 10.3376
Sc 1.7026 1.7026 15.5686
Sc 1.7026 1.7026 8.6162
Sc 1.7026 1.7026 5.1314
Sc 1.7026 1.7026 1.6637
Sc 1.7026 1.7026 12.1009
Ga 0.0000 0.0000 0.0000
```

Calculated density in g/cm3: 6.0
N(E_F) in states/eV/cell: 6.65
Calculated formation energy in meV per atom: -347



15.
Density functional theory data (PBE) for Sc5Ga2Ag after structural relaxation.

```
16
Lattice="6.4508 0.0000 -3.0451 -1.4375 6.2886 -3.0451 0.0237 0.0297 8.4054" Properties=species:S:1:pos:R:3 pbc="T T T"
Sc 3.8397 6.1742 -2.9969
Sc 2.3804 4.3436 2.2669
Sc 0.0000 0.0000 0.0000
Sc 2.6566 1.9747 0.0483
Sc 2.5067 3.1443 -3.0451
Sc -0.6038 3.2884 4.3004
Sc 1.1973 0.1441 5.3120
Sc 0.8555 5.1190 -0.9634
Sc 5.6409 3.0299 -1.9852
Sc 4.1815 1.1993 3.2785
Ag 3.7718 4.7313 -0.3650
Ag 1.2652 1.5870 2.6801
Ga 3.8705 0.8092 -2.3062
Ga 1.1429 5.4795 -3.7840
Ga 0.2963 2.3352 -1.5226
Ga 4.7171 3.9535 -4.5677
```

Calculated density in g/cm3: 4.6
N(E_F) in states/eV/cell: 15.29
Calculated formation energy in meV per atom: -394



16.
Density functional theory data (PBE) for Sc2GaAg2 after structural relaxation.

```
10
Lattice="-4.3659 -5.7129 3.0129 3.7309 0.7378 6.8053 -2.3456 2.3371 1.0326" Properties=species:S:1:pos:R:3 pbc="T T T"
Sc 1.6514 -1.3081 6.7121
Sc -2.2864 -3.6671 3.1061
Sc -1.1813 -4.2930 7.0334
Sc 0.5462 -0.6821 2.7848
Ag -3.5894 -3.5184 5.6351
Ag -2.2864 -0.8359 2.5236
Ag 0.6087 0.8804 5.2157
Ag -0.6943 -1.8021 8.3272
Ga 0.0000 0.0000 0.0000
Ga -0.3175 -2.4876 4.9091
```

Calculated density in g/cm3: 5.9
Energy relative to the lowest polymorph listed for this composition in eV/atom: 0.201
N(E_F) in states/eV/cell: 10.73
Calculated formation energy in meV per atom: -112



17.
Density functional theory data (PBE) for Sc4Ga2Ag after structural relaxation.

```
7
Lattice="4.6084 0.0000 0.0000 2.3042 3.9910 0.0000 2.3042 1.3303 8.6959" Properties=species:S:1:pos:R:3 pbc="T T T"
Sc 6.9127 3.9910 5.3163
Sc 4.6084 2.6607 7.4134
Sc 4.6084 2.6607 1.2825
Sc 2.3042 1.3303 3.3795
Ag 0.0000 0.0000 0.0000
Ga 6.9127 3.9910 2.5502
Ga 2.3042 1.3303 6.1456
```

Calculated density in g/cm3: 4.4
Energy relative to the lowest polymorph listed for this composition in eV/atom: 0.161
N(E_F) in states/eV/cell: 6.51
Calculated formation energy in meV per atom: -218



18.
Density functional theory data (PBE) for Sc2GaAg2 after structural relaxation.

```
5
Lattice="3.1285 0.0000 0.0000 0.0000 4.2673 0.8086 0.0000 0.8048 7.4178" Properties=species:S:1:pos:R:3 pbc="T T T"
Sc 1.5643 3.2238 6.3159
Sc 1.5643 1.8483 1.9104
Ga 0.0000 0.0000 0.0000
Ag 0.0000 3.7548 3.5135
Ag 0.0000 1.3173 4.7128
```

Calculated density in g/cm3: 6.4
Energy relative to the lowest polymorph listed for this composition in eV/atom: 0.000
N(E_F) in states/eV/cell: 4.43
Calculated formation energy in meV per atom: -312



19.
Density functional theory data (PBE) for Sc3GaAg after structural relaxation.

```
10
Lattice="4.6753 0.0000 1.0684 0.0000 4.7983 0.0000 0.3191 0.0000 9.3673" Properties=species:S:1:pos:R:3 pbc="T T T"
Sc 2.8461 1.1996 5.2880
Sc 3.6128 1.1996 1.9330
Sc 4.4129 3.5988 9.1954
Sc 2.0822 1.1996 8.6307
Sc 0.5043 3.5988 4.7719
Sc 1.2681 3.5988 1.4293
Ag 2.4600 3.5988 6.9776
Ag 0.8904 1.1996 3.0824
Ga 3.2276 3.5988 3.6185
Ga 4.7981 1.1996 7.5099
```

Calculated density in g/cm3: 5.0
Energy relative to the lowest polymorph listed for this composition in eV/atom: 0.000
N(E_F) in states/eV/cell: 9.75
Calculated formation energy in meV per atom: -345



20.
Density functional theory data (PBE) for Sc8Ga2Ag after structural relaxation.

```
11
Lattice="4.6534 0.0000 0.0000 0.0000 6.5048 0.2852 -2.3267 -2.4379 7.9228" Properties=species:S:1:pos:R:3 pbc="T T T"
Sc 2.3267 5.4109 2.8733
Sc 2.3267 3.1166 4.9858
Sc 0.0000 4.8131 0.6072
Sc 0.0000 0.9503 3.2222
Sc 2.3267 2.5752 1.6176
Sc 0.0000 -1.3440 5.3347
Sc 0.0000 1.4917 6.5904
Sc 2.3267 -0.7462 7.6009
Ag 2.3267 0.0000 0.0000
Ga 2.3267 0.3229 4.9696
Ga 0.0000 3.7440 3.2384
```

Calculated density in g/cm3: 4.1
N(E_F) in states/eV/cell: 14.31
Calculated formation energy in meV per atom: -245